Entry from Alexandria: a geometry-optimized P2ClO structure (PBE).

a b c (Å): 4.278 4.278 4.278
angles (deg): 60.00 60.00 60.00
Fractional coordinates of all 4 atoms:
P 0.250 0.250 0.250
P 0.750 0.750 0.750
Cl 0.000 0.000 0.000
O 0.500 0.500 0.500

Its excess energy over the best structure of this formula in the dataset is 866 meV per atom. Its calculated density is 3.40 g/cm³. The size of the total moment comes out at 0.00 μB per formula unit. For the formation energy (no corrections), the calculation gives 1.029 eV per atom. As for the space-group type: No. 225. Its total energy is -3.377 eV/atom.

***

Entry from Alexandria: a geometry-optimized PCl3O structure (PBE).

a b c (Å): 5.337 8.039 12.256
angles (deg): 90.00 93.69 90.00
Fractional coordinates of all 20 atoms:
P 0.160 0.211 0.330
P 0.160 0.789 0.830
P 0.840 0.211 0.170
P 0.840 0.789 0.670
Cl 0.205 0.305 0.487
Cl 0.205 0.695 0.987
Cl 0.252 0.474 0.759
Cl 0.252 0.526 0.259
Cl 0.307 0.018 0.857
Cl 0.307 0.982 0.357
Cl 0.693 0.018 0.643
Cl 0.693 0.982 0.143
Cl 0.748 0.474 0.741
Cl 0.748 0.526 0.241
Cl 0.795 0.305 0.013
Cl 0.795 0.695 0.513
O 0.141 0.198 0.183
O 0.141 0.802 0.683
O 0.859 0.198 0.317
O 0.859 0.802 0.817

Its calculated density is 1.94 g/cm³. The size of the total moment comes out at 0.51 μB per formula unit. For the formation energy (no corrections), the calculation gives -0.615 eV per atom. As for the space-group type: No. 13. Its total energy is -3.797 eV/atom.

***

Entry from Alexandria: a geometry-optimized PCl3O structure (PBE).

a b c (Å): 9.941 9.944 6.084
angles (deg): 90.00 90.00 90.00
Fractional coordinates of all 20 atoms:
P 0.178 0.250 0.104
P 0.322 0.750 0.604
P 0.678 0.250 0.396
P 0.822 0.750 0.896
Cl 0.021 0.250 0.898
Cl 0.147 0.090 0.300
Cl 0.147 0.410 0.300
Cl 0.353 0.590 0.800
Cl 0.353 0.910 0.800
Cl 0.479 0.750 0.398
Cl 0.521 0.250 0.602
Cl 0.647 0.090 0.200
Cl 0.647 0.410 0.200
Cl 0.853 0.590 0.700
Cl 0.853 0.910 0.700
Cl 0.979 0.750 0.102
O 0.190 0.750 0.494
O 0.310 0.250 0.994
O 0.690 0.750 0.006
O 0.810 0.250 0.506

Its calculated density is 1.69 g/cm³. The size of the total moment comes out at 0.00 μB per formula unit. For the formation energy (no corrections), the calculation gives -1.076 eV per atom. As for the space-group type: No. 62. Its total energy is -4.257 eV/atom.

***

Entry from Alexandria: a geometry-optimized P2ClO structure (PBE).

a b c (Å): 7.449 7.449 7.449
angles (deg): 144.73 144.73 50.74
Fractional coordinates of all 8 atoms:
P 0.375 0.198 0.323
P 0.802 0.125 0.177
P 0.875 0.052 0.677
P 0.948 0.625 0.823
Cl 0.250 0.750 0.500
Cl 0.500 0.500 0.000
O 0.000 0.000 0.000
O 0.750 0.250 0.500

Its excess energy over the best structure of this formula in the dataset is 0 meV per atom. Its calculated density is 2.75 g/cm³. The size of the total moment comes out at 0.00 μB per formula unit. For the formation energy (no corrections), the calculation gives 0.163 eV per atom. As for the space-group type: No. 122. Its total energy is -4.243 eV/atom.

***

Entry from Alexandria: a geometry-optimized PCl2O structure (PBE).

a b c (Å): 4.393 4.393 4.393
angles (deg): 60.00 60.00 60.00
Fractional coordinates of all 4 atoms:
P 0.000 0.000 0.000
Cl 0.250 0.250 0.250
Cl 0.750 0.750 0.750
O 0.500 0.500 0.500

Its excess energy over the best structure of this formula in the dataset is 181 meV per atom. Its calculated density is 3.27 g/cm³. The size of the total moment comes out at 1.00 μB per formula unit. For the formation energy (no corrections), the calculation gives 0.881 eV per atom. As for the space-group type: No. 225. Its total energy is -2.634 eV/atom.

***

Entry from Alexandria: a geometry-optimized PCl3O structure (PBE).

a b c (Å): 4.437 4.437 4.437
angles (deg): 90.00 90.00 90.00
Fractional coordinates of all 5 atoms:
P 0.000 0.000 0.000
Cl 0.000 0.500 0.500
Cl 0.500 0.000 0.500
Cl 0.500 0.500 0.000
O 0.500 0.500 0.500

Its calculated density is 2.91 g/cm³. The size of the total moment comes out at 0.00 μB per formula unit. For the formation energy (no corrections), the calculation gives 1.010 eV per atom. As for the space-group type: No. 221. Its total energy is -2.171 eV/atom.

***

Entry from Alexandria: a geometry-optimized PCl3O structure (PBE).

a b c (Å): 4.745 4.745 4.745
angles (deg): 90.00 90.00 90.00
Fractional coordinates of all 5 atoms:
P 0.000 0.000 0.000
Cl 0.000 0.000 0.500
Cl 0.000 0.500 0.000
Cl 0.500 0.000 0.000
O 0.500 0.500 0.500

Its calculated density is 2.38 g/cm³. The size of the total moment comes out at 2.00 μB per formula unit. For the formation energy (no corrections), the calculation gives 0.402 eV per atom. As for the space-group type: No. 221. Its total energy is -2.780 eV/atom.

***

Entry from Alexandria: a geometry-optimized PaP2ClO8 structure (PBE).

a b c (Å): 5.622 5.622 8.052
angles (deg): 90.00 90.00 120.00
Fractional coordinates of all 12 atoms:
Pa 0.000 0.000 0.000
P 0.333 0.667 0.777
P 0.667 0.333 0.223
Cl 0.000 0.000 0.500
O 0.185 0.370 0.850
O 0.185 0.815 0.850
O 0.333 0.667 0.588
O 0.370 0.185 0.150
O 0.630 0.815 0.850
O 0.667 0.333 0.412
O 0.815 0.185 0.150
O 0.815 0.630 0.150

Its calculated density is 3.44 g/cm³. The size of the total moment comes out at 2.01 μB per formula unit. For the formation energy (no corrections), the calculation gives -2.122 eV per atom. As for the space-group type: No. 164. Its total energy is -7.274 eV/atom.

***

Entry from Alexandria: a geometry-optimized P2PbClO structure (PBE).

a b c (Å): 4.109 4.109 10.317
angles (deg): 90.00 90.00 90.00
Fractional coordinates of all 5 atoms:
P 0.000 0.500 0.000
P 0.500 0.000 0.000
Pb 0.000 0.000 0.500
Cl 0.500 0.500 0.500
O 0.500 0.500 0.000

Its excess energy over the best structure of this formula in the dataset is 0 meV per atom. Its calculated density is 3.06 g/cm³. The size of the total moment comes out at 0.09 μB per formula unit. For the formation energy (no corrections), the calculation gives 0.401 eV per atom. As for the space-group type: No. 123. Its total energy is -3.865 eV/atom.

***

Entry from Alexandria: a geometry-optimized P2PbClO structure (PBE).

a b c (Å): 5.521 5.521 5.429
angles (deg): 90.00 90.00 90.00
Fractional coordinates of all 5 atoms:
P 0.000 0.500 0.000
P 0.500 0.000 0.000
Pb 0.000 0.000 0.000
Cl 0.000 0.000 0.500
O 0.500 0.500 0.500

Its excess energy over the best structure of this formula in the dataset is 1030 meV per atom. Its calculated density is 3.22 g/cm³. The size of the total moment comes out at 3.15 μB per formula unit. For the formation energy (no corrections), the calculation gives 1.431 eV per atom. As for the space-group type: No. 123. Its total energy is -2.835 eV/atom.

***

Entry from Alexandria: a geometry-optimized P2PbClO structure (PBE).

a b c (Å): 4.995 4.995 4.499
angles (deg): 90.00 90.00 90.00
Fractional coordinates of all 5 atoms:
P 0.000 0.500 0.000
P 0.500 0.000 0.000
Pb 0.000 0.000 0.500
Cl 0.500 0.500 0.000
O 0.500 0.500 0.500

Its excess energy over the best structure of this formula in the dataset is 544 meV per atom. Its calculated density is 4.74 g/cm³. The size of the total moment comes out at 1.85 μB per formula unit. For the formation energy (no corrections), the calculation gives 0.946 eV per atom. As for the space-group type: No. 123. Its total energy is -3.321 eV/atom.

***

Entry from Alexandria: a geometry-optimized PPbCl2O structure (PBE).

a b c (Å): 6.060 6.060 3.499
angles (deg): 90.00 90.00 90.00
Fractional coordinates of all 5 atoms:
P 0.000 0.000 0.000
Pb 0.500 0.500 0.000
Cl 0.000 0.500 0.500
Cl 0.500 0.000 0.500
O 0.000 0.000 0.500

Its excess energy over the best structure of this formula in the dataset is 0 meV per atom. Its calculated density is 4.20 g/cm³. The size of the total moment comes out at 0.40 μB per formula unit. For the formation energy (no corrections), the calculation gives -0.227 eV per atom. As for the space-group type: No. 123. Its total energy is -3.781 eV/atom.